NbGa2Ni8 | PBE-GGA | relaxed

Cell lengths 6.5048, 6.5048, 4.2599 Å; angles 103.84, 103.84, 119.34 degrees
Positions (direct):
Nb1 0.0000 0.0000 0.0000
Ga1 0.3085 0.6915 0.5000
Ga2 0.6915 0.3085 0.5000
Ni1 0.0944 0.3197 0.6379
Ni2 0.2186 0.7814 0.0000
Ni3 0.3197 0.0944 0.6379
Ni4 0.4174 0.4174 0.1911
Ni5 0.5826 0.5826 0.8089
Ni6 0.6803 0.9056 0.3621
Ni7 0.7814 0.2186 0.0000
Ni8 0.9056 0.6803 0.3621

final energy = -5.77 eV per atom
symmetry = No. 12
energy of formation = -102 meV per atom


NbGa2Ni2 | PBE-GGA | relaxed

Cell lengths 7.1648, 7.1648, 2.6816 Å; angles 90.00, 90.00, 90.00 degrees
Positions (direct):
Nb1 0.0000 0.0000 0.0000
Nb2 0.5000 0.5000 0.0000
Ga1 0.1362 0.3638 0.0000
Ga2 0.3638 0.8638 0.0000
Ga3 0.6362 0.1362 0.0000
Ga4 0.8638 0.6362 0.0000
Ni1 0.1611 0.6611 0.5000
Ni2 0.3389 0.1611 0.5000
Ni3 0.6611 0.8389 0.5000
Ni4 0.8389 0.3389 0.5000

final energy = -5.82 eV per atom
symmetry = No. 127
energy of formation = -279 meV per atom


| no. | ρ (g/cm3) |
| --- | --- |
| 1 | 8.42 |
| 2 | 8.44 |